[1]
Entry from the Alexandria database: an optimized crystal structure of InRe4 (PBE).

Unit cell a=4.6902 b=4.6902 c=4.6902 alpha=90.00 beta=90.00 gamma=90.00
Space group Pm-3m (No. 221)
Inequivalent atoms, fractional coordinates:
In (0.0000, 0.0000, 0.0000) [1 per cell]
Re (0.0000, 0.0000, 0.5000) [3 per cell]
Re (0.5000, 0.5000, 0.5000) [1 per cell]

Values from the calculation:
Raw total energy   -7.17 eV per atom
DFT formation energy   3.335 eV/atom
DOS(E_F)   4.48 states/eV per cell

[2]
Entry from the Alexandria database: an optimized crystal structure of KCaBiO3 (PBE).

Unit cell a=6.5113 b=3.5449 c=10.3769 alpha=90.00 beta=101.18 gamma=90.00
Space group P2_1/m (No. 11)
Inequivalent atoms, fractional coordinates:
K (0.0539, 0.2500, 0.1460) [2 per cell]
Ca (0.4525, 0.7500, 0.8690) [2 per cell]
Bi (0.2729, 0.2500, 0.5625) [2 per cell]
O (0.2090, 0.2500, 0.7487) [2 per cell]
O (0.3261, 0.7500, 0.0602) [2 per cell]
O (0.4738, 0.7500, 0.6094) [2 per cell]

Values from the calculation:
Raw total energy   -5.38 eV per atom
Uncorrected formation energy   -1.74 eV per atom

[3]
Entry from the Alexandria database: an optimized crystal structure of TbTh2Rh (PBE).

Unit cell a=3.7568 b=3.7568 c=30.9103 alpha=90.00 beta=90.00 gamma=120.00
Space group R-3m (No. 166, hexagonal axes)
Inequivalent atoms, fractional coordinates:
Tb (0.0000, 0.0000, 0.0000) [3 per cell]
Th (0.0000, 0.0000, 0.1080) [6 per cell]
Rh (0.0000, 0.0000, 0.5000) [3 per cell]

Values from the calculation:
Raw total energy   -6.77 eV per atom
DFT formation energy   -0.061 eV/atom
DOS(E_F)   19.99 states/eV per cell

[4]
Entry from the Alexandria database: an optimized crystal structure of Dy2Er3Os2 (PBE).

Unit cell a=11.8144 b=3.9539 c=8.2409 alpha=90.00 beta=112.76 gamma=90.00
Space group C2/m (No. 12)
Inequivalent atoms, fractional coordinates:
Dy (0.1645, 0.0000, 0.3137) [4 per cell]
Er (0.0000, 0.5000, 0.5000) [2 per cell]
Er (0.1255, 0.5000, 0.9307) [4 per cell]
Os (0.1763, 0.0000, 0.7154) [4 per cell]

Values from the calculation:
Raw total energy   -6.75 eV per atom
DFT formation energy   -0.269 eV/atom
DOS(E_F)   9.84 states/eV per cell

[5]
Entry from the Alexandria database: an optimized crystal structure of LaF (PBE).

Unit cell a=3.8390 b=10.7730 c=6.4285 alpha=90.00 beta=90.00 gamma=90.00
Space group Amm2 (No. 38)
Inequivalent atoms, fractional coordinates:
La (0.0000, 0.0000, 0.0000) [2 per cell]
La (0.5000, 0.1649, 0.4641) [4 per cell]
F (0.0000, 0.2030, 0.7856) [4 per cell]
F (0.5000, 0.0000, 0.7277) [2 per cell]

Values from the calculation:
Raw total energy   -5.88 eV per atom
DOS(E_F)   4.97 states/eV per cell
Uncorrected formation energy   -2.48 eV per atom

[6]
Entry from the Alexandria database: an optimized crystal structure of Ga2RuCBr (PBE).

Unit cell a=4.1576 b=4.1576 c=4.6481 alpha=90.00 beta=90.00 gamma=90.00
Space group P4/mmm (No. 123)
Inequivalent atoms, fractional coordinates:
Ga (0.0000, 0.5000, 0.0000) [2 per cell]
Ru (0.0000, 0.0000, 0.5000) [1 per cell]
C (0.5000, 0.5000, 0.0000) [1 per cell]
Br (0.5000, 0.5000, 0.5000) [1 per cell]

Values from the calculation:
Raw total energy   -4.00 eV per atom
DOS(E_F)   3.31 states/eV per cell
Uncorrected formation energy   1.24 eV per atom

[7]
Entry from the Alexandria database: an optimized crystal structure of YHg3Se (PBE).

Unit cell a=5.3449 b=5.3449 c=5.3449 alpha=90.00 beta=90.00 gamma=90.00
Space group Pm-3m (No. 221)
Inequivalent atoms, fractional coordinates:
Y (0.0000, 0.0000, 0.0000) [1 per cell]
Hg (0.0000, 0.5000, 0.5000) [3 per cell]
Se (0.5000, 0.5000, 0.5000) [1 per cell]

Values from the calculation:
Raw total energy   -1.82 eV per atom
DOS(E_F)   4.48 states/eV per cell
Uncorrected formation energy   0.35 eV per atom

[8]
Entry from the Alexandria database: an optimized crystal structure of Pm4Dy4Tm (PBE).

Unit cell a=10.7602 b=10.7602 c=5.0522 alpha=90.00 beta=90.00 gamma=90.00
Space group I4/mmm (No. 139)
Inequivalent atoms, fractional coordinates:
Pm (0.1662, 0.1662, 0.0000) [8 per cell]
Dy (0.0000, 0.3341, 0.5000) [8 per cell]
Tm (0.0000, 0.0000, 0.5000) [2 per cell]

Values from the calculation:
Raw total energy   -4.64 eV per atom
DFT formation energy   0.017 eV/atom
DOS(E_F)   25.63 states/eV per cell

[9]
Entry from the Alexandria database: an optimized crystal structure of PmThCd2 (PBE).

Unit cell a=3.5442 b=3.5442 c=31.9474 alpha=90.00 beta=90.00 gamma=120.00
Space group R-3m (No. 166, hexagonal axes)
Inequivalent atoms, fractional coordinates:
Pm (0.0000, 0.0000, 0.0000) [3 per cell]
Th (0.0000, 0.0000, 0.5000) [3 per cell]
Cd (0.0000, 0.0000, 0.2513) [6 per cell]

Values from the calculation:
Raw total energy   -3.55 eV per atom
DFT formation energy   -0.048 eV/atom
DOS(E_F)   11.81 states/eV per cell

[10]
Entry from the Alexandria database: an optimized crystal structure of K2RbLiCl (PBE).

Unit cell a=6.2401 b=6.2401 c=6.5717 alpha=90.00 beta=90.00 gamma=90.00
Space group P4/mmm (No. 123)
Inequivalent atoms, fractional coordinates:
K (0.0000, 0.5000, 0.0000) [2 per cell]
Rb (0.0000, 0.0000, 0.5000) [1 per cell]
Li (0.5000, 0.5000, 0.5000) [1 per cell]
Cl (0.0000, 0.0000, 0.0000) [1 per cell]

Values from the calculation:
Raw total energy   -2.03 eV per atom
DOS(E_F)   2.96 states/eV per cell
Uncorrected formation energy   -0.64 eV per atom

[11]
Entry from the Alexandria database: an optimized crystal structure of Ac2Ge2Pd5 (PBE).

Unit cell a=4.5360 b=4.5360 c=9.0024 alpha=90.00 beta=90.00 gamma=90.00
Space group P4/mmm (No. 123)
Inequivalent atoms, fractional coordinates:
Ac (0.0000, 0.0000, 0.0000) [1 per cell]
Ac (0.0000, 0.0000, 0.5000) [1 per cell]
Ge (0.5000, 0.5000, 0.1482) [2 per cell]
Pd (0.0000, 0.5000, 0.2710) [4 per cell]
Pd (0.5000, 0.5000, 0.5000) [1 per cell]

Values from the calculation:
Raw total energy   -5.62 eV per atom
DFT formation energy   -0.793 eV/atom
DOS(E_F)   3.69 states/eV per cell

[12]
Entry from the Alexandria database: an optimized crystal structure of YIn3 (PBE).

Unit cell a=3.5929 b=3.5929 c=9.8756 alpha=90.00 beta=90.00 gamma=120.00
Space group P-6m2 (No. 187)
Inequivalent atoms, fractional coordinates:
Y (0.0000, 0.0000, 0.0000) [1 per cell]
In (0.0000, 0.0000, 0.5000) [1 per cell]
In (0.3333, 0.6667, 0.2547) [2 per cell]

Values from the calculation:
Raw total energy   -3.79 eV per atom
DFT formation energy   -0.120 eV/atom
DOS(E_F)   2.30 states/eV per cell

[13]
Entry from the Alexandria database: an optimized crystal structure of Ca3NdIr8 (PBE).

Unit cell a=5.3716 b=5.3716 c=8.8034 alpha=90.00 beta=90.00 gamma=120.00
Space group P3m1 (No. 156)
Inequivalent atoms, fractional coordinates:
Ca (0.0000, 0.0000, 0.0000) [1 per cell]
Ca (0.0000, 0.0000, 0.3596) [1 per cell]
Ca (0.3333, 0.6667, 0.8713) [1 per cell]
Nd (0.3333, 0.6667, 0.5022) [1 per cell]
Ir (0.0063, 0.5031, 0.1822) [3 per cell]
Ir (0.3260, 0.1630, 0.6836) [3 per cell]
Ir (0.6667, 0.3333, 0.4311) [1 per cell]
Ir (0.6667, 0.3333, 0.9322) [1 per cell]

Values from the calculation:
Raw total energy   -7.34 eV per atom
DFT formation energy   -0.536 eV/atom
DOS(E_F)   7.37 states/eV per cell

[14]
Entry from the Alexandria database: an optimized crystal structure of SrHoNi4 (PBE).

Unit cell a=7.2796 b=7.2796 c=7.2796 alpha=90.00 beta=90.00 gamma=90.00
Space group F-43m (No. 216)
Inequivalent atoms, fractional coordinates:
Sr (0.0000, 0.0000, 0.0000) [4 per cell]
Ho (0.2500, 0.2500, 0.7500) [4 per cell]
Ni (0.1240, 0.1240, 0.3760) [16 per cell]

Values from the calculation:
Raw total energy   -5.08 eV per atom
DFT formation energy   -0.183 eV/atom
DOS(E_F)   28.22 states/eV per cell

[15]
Entry from the Alexandria database: an optimized crystal structure of Al3Cu2Tc (PBE).

Unit cell a=4.2429 b=4.2429 c=10.4738 alpha=90.00 beta=90.00 gamma=120.00
Space group P-3m1 (No. 164)
Inequivalent atoms, fractional coordinates:
Al (0.0000, 0.0000, 0.2464) [2 per cell]
Al (0.3333, 0.6667, 0.4175) [2 per cell]
Al (0.3333, 0.6667, 0.9168) [2 per cell]
Cu (0.0000, 0.0000, 0.0000) [1 per cell]
Cu (0.0000, 0.0000, 0.5000) [1 per cell]
Cu (0.3333, 0.6667, 0.6708) [2 per cell]
Tc (0.3333, 0.6667, 0.1702) [2 per cell]

Values from the calculation:
Raw total energy   -5.22 eV per atom
DFT formation energy   -0.257 eV/atom
DOS(E_F)   6.24 states/eV per cell

[16]
Entry from the Alexandria database: an optimized crystal structure of CsTmBe2F8 (PBE).

Unit cell a=8.7582 b=5.5241 c=8.7873 alpha=90.00 beta=95.72 gamma=90.00
Space group C2/m (No. 12)
Inequivalent atoms, fractional coordinates:
Cs (0.0000, 0.0000, 0.0000) [2 per cell]
Tm (0.0000, 0.0000, 0.5000) [2 per cell]
Be (0.1248, 0.5000, 0.2918) [4 per cell]
F (0.0262, 0.2674, 0.3263) [8 per cell]
F (0.1734, 0.5000, 0.1334) [4 per cell]
F (0.2382, 0.0000, 0.5756) [4 per cell]

Values from the calculation:
Raw total energy   -5.84 eV per atom
DOS(E_F)   0.00 states/eV per cell
Uncorrected formation energy   -3.53 eV per atom

[17]
Entry from the Alexandria database: an optimized crystal structure of Dy4YMgSe8 (PBE).

Unit cell a=8.3438 b=8.3438 c=20.4378 alpha=90.00 beta=90.00 gamma=120.00
Space group R3m (No. 160, hexagonal axes)
Inequivalent atoms, fractional coordinates:
Dy (0.0000, 0.0000, 0.0000) [3 per cell]
Dy (0.1710, 0.3421, 0.2072) [9 per cell]
Y (0.0000, 0.0000, 0.3783) [3 per cell]
Mg (0.0000, 0.0000, 0.7499) [3 per cell]
Se (0.0000, 0.0000, 0.1334) [3 per cell]
Se (0.0000, 0.0000, 0.6213) [3 per cell]
Se (0.0093, 0.5046, 0.1264) [9 per cell]
Se (0.1777, 0.3554, 0.9554) [9 per cell]

Values from the calculation:
Raw total energy   -5.60 eV per atom
DOS(E_F)   11.49 states/eV per cell
Uncorrected formation energy   -1.72 eV per atom

[18]
Entry from the Alexandria database: an optimized crystal structure of Pm6Sb3Se (PBE).

Unit cell a=12.0831 b=14.7713 c=7.4750 alpha=90.00 beta=90.00 gamma=90.00
Space group Cmc2_1 (No. 36)
Inequivalent atoms, fractional coordinates:
Pm (0.0000, 0.0097, 0.0000) [4 per cell]
Pm (0.0000, 0.2437, 0.6059) [4 per cell]
Pm (0.1633, 0.4597, 0.5798) [8 per cell]
Pm (0.1638, 0.2590, 0.0675) [8 per cell]
Sb (0.0000, 0.4009, 0.8937) [4 per cell]
Sb (0.1798, 0.1033, 0.7626) [8 per cell]
Se (0.0000, 0.1543, 0.2643) [4 per cell]

Values from the calculation:
Raw total energy   -5.38 eV per atom
DOS(E_F)   41.94 states/eV per cell
Uncorrected formation energy   -0.95 eV per atom

[19]
Entry from the Alexandria database: an optimized crystal structure of Be3FeAs (PBE).

Unit cell a=4.1936 b=4.1936 c=4.1936 alpha=90.00 beta=90.00 gamma=90.00
Space group Pm-3m (No. 221)
Inequivalent atoms, fractional coordinates:
Be (0.0000, 0.0000, 0.5000) [3 per cell]
Fe (0.5000, 0.5000, 0.5000) [1 per cell]
As (0.0000, 0.0000, 0.0000) [1 per cell]

Values from the calculation:
Raw total energy   -3.71 eV per atom
DFT formation energy   1.144 eV/atom
DOS(E_F)   5.42 states/eV per cell

[20]
Entry from the Alexandria database: an optimized crystal structure of MgSe2Br (PBE).

Unit cell a=4.7477 b=4.5237 c=5.3031 alpha=90.00 beta=107.28 gamma=90.00
Space group P2/m (No. 10)
Inequivalent atoms, fractional coordinates:
Mg (0.0000, 0.0000, 0.0000) [1 per cell]
Se (0.3485, 0.5000, 0.1367) [2 per cell]
Br (0.0000, 0.0000, 0.5000) [1 per cell]

Values from the calculation:
Raw total energy   -3.22 eV per atom
DOS(E_F)   1.51 states/eV per cell
Uncorrected formation energy   -0.66 eV per atom

[21]
Entry from the Alexandria database: an optimized crystal structure of HgBi3Br (PBE).

Unit cell a=5.7725 b=5.7725 c=5.7725 alpha=90.00 beta=90.00 gamma=90.00
Space group Pm-3m (No. 221)
Inequivalent atoms, fractional coordinates:
Hg (0.0000, 0.0000, 0.0000) [1 per cell]
Bi (0.0000, 0.0000, 0.5000) [3 per cell]
Br (0.5000, 0.5000, 0.5000) [1 per cell]

Values from the calculation:
Raw total energy   -2.15 eV per atom
DOS(E_F)   4.51 states/eV per cell
Uncorrected formation energy   0.57 eV per atom

[22]
Entry from the Alexandria database: an optimized crystal structure of Th2Ag4S5 (PBE).

Unit cell a=4.1147 b=4.1147 c=52.5335 alpha=90.00 beta=90.00 gamma=120.00
Space group R-3m (No. 166, hexagonal axes)
Inequivalent atoms, fractional coordinates:
Th (0.0000, 0.0000, 0.1367) [6 per cell]
Ag (0.0000, 0.0000, 0.3085) [6 per cell]
Ag (0.0000, 0.0000, 0.4137) [6 per cell]
S (0.0000, 0.0000, 0.2276) [6 per cell]
S (0.0000, 0.0000, 0.3673) [6 per cell]
S (0.0000, 0.0000, 0.5000) [3 per cell]

Values from the calculation:
Raw total energy   -4.99 eV per atom
DOS(E_F)   14.42 states/eV per cell
Uncorrected formation energy   -0.73 eV per atom

[23]
Entry from the Alexandria database: an optimized crystal structure of K2PuScO4 (PBE).

Unit cell a=5.9130 b=3.4271 c=6.5174 alpha=90.00 beta=107.45 gamma=90.00
Space group P2/m (No. 10)
Inequivalent atoms, fractional coordinates:
K (0.0000, 0.0000, 0.0000) [1 per cell]
K (0.5000, 0.5000, 0.0000) [1 per cell]
Pu (0.0000, 0.5000, 0.5000) [1 per cell]
Sc (0.5000, 0.0000, 0.5000) [1 per cell]
O (0.2455, 0.0000, 0.6843) [2 per cell]
O (0.2876, 0.5000, 0.3191) [2 per cell]

Values from the calculation:
Raw total energy   -7.86 eV per atom
DOS(E_F)   5.33 states/eV per cell
Uncorrected formation energy   -2.52 eV per atom

[24]
Entry from the Alexandria database: an optimized crystal structure of Er12In3Ag (PBE).

Unit cell a=4.8020 b=4.8020 c=19.0330 alpha=90.00 beta=90.00 gamma=90.00
Space group P4/mmm (No. 123)
Inequivalent atoms, fractional coordinates:
Er (0.0000, 0.0000, 0.0000) [1 per cell]
Er (0.0000, 0.0000, 0.2467) [2 per cell]
Er (0.0000, 0.0000, 0.5000) [1 per cell]
Er (0.0000, 0.5000, 0.1208) [4 per cell]
Er (0.0000, 0.5000, 0.3744) [4 per cell]
In (0.5000, 0.5000, 0.2479) [2 per cell]
In (0.5000, 0.5000, 0.5000) [1 per cell]
Ag (0.5000, 0.5000, 0.0000) [1 per cell]

Values from the calculation:
Raw total energy   -4.30 eV per atom
DFT formation energy   -0.191 eV/atom
DOS(E_F)   22.05 states/eV per cell